# Sr2TlCd

An optimized crystal structure of Sr2TlCd (GGA-PBEsol, the Alexandria database).

Cell: 3.907 5.694 5.696 Å, 90.00 90.00 90.00°
Space group Pmm2 (No. 25)
Asymmetric unit:
Sr 0.000 0.000 0.000 x1
Sr 0.000 0.500 0.498 x1
Tl 0.500 0.500 0.997 x1
Cd 0.500 0.000 0.501 x1

magnetization: 0.0 μB/f.u.
volume: 127 Å³/f.u.
calculated formation energy: -1.6 eV/f.u.

# SrTlCd4

An optimized crystal structure of SrTlCd4 (GGA-PBEsol, the Alexandria database).

Cell: 8.454 8.454 8.454 Å, 90.00 90.00 90.00°
Space group F-43m (No. 216)
Asymmetric unit:
Sr 0.000 0.000 0.000 x4
Tl 0.250 0.250 0.250 x4
Cd 0.125 0.125 0.625 x16

magnetization: 0.0 μB/f.u.
volume: 151 Å³/f.u.
calculated formation energy: -1.1 eV/f.u.

# Sr2TlCd

An optimized crystal structure of Sr2TlCd (GGA-PBEsol, the Alexandria database).

Cell: 7.977 7.977 7.977 Å, 90.00 90.00 90.00°
Space group Fm-3m (No. 225)
Asymmetric unit:
Sr 0.250 0.250 0.250 x8
Tl 0.000 0.000 0.000 x4
Cd 0.000 0.000 0.500 x4

magnetization: 0.0 μB/f.u.
volume: 127 Å³/f.u.
calculated formation energy: -1.6 eV/f.u.

# SrTl2Cd2

An optimized crystal structure of SrTl2Cd2 (GGA-PBEsol, the Alexandria database).

Cell: 4.658 4.658 12.706 Å, 90.00 90.00 90.00°
Space group I4/mmm (No. 139)
Asymmetric unit:
Sr 0.000 0.000 0.000 x2
Tl 0.000 0.000 0.386 x4
Cd 0.000 0.500 0.250 x4

magnetization: 0.0 μB/f.u.
volume: 138 Å³/f.u.
calculated formation energy: -1.1 eV/f.u.

# Sr2TlCd

An optimized crystal structure of Sr2TlCd (GGA-PBEsol, the Alexandria database).

Cell: 12.475 3.878 5.681 Å, 90.00 111.21 90.00°
Space group Cm (No. 8)
Asymmetric unit:
Sr 0.000 0.000 0.000 x2
Sr 0.201 0.000 0.662 x2
Tl 0.446 0.000 0.461 x2
Cd 0.251 0.500 0.197 x2

magnetization: 0.0 μB/f.u.
volume: 128 Å³/f.u.
calculated formation energy: -1.3 eV/f.u.

# Sr2ZrTlCd

An optimized crystal structure of Sr2ZrTlCd (GGA-PBEsol, the Alexandria database).

Cell: 5.991 5.991 5.349 Å, 90.00 90.00 90.00°
Space group P4/mmm (No. 123)
Asymmetric unit:
Sr 0.000 0.500 0.000 x2
Zr 0.000 0.000 0.000 x1
Tl 0.500 0.500 0.500 x1
Cd 0.000 0.000 0.500 x1

magnetization: 0.0 μB/f.u.
volume: 192 Å³/f.u.
calculated formation energy: 3.7 eV/f.u.

# SrCd4W

An optimized crystal structure of SrCd4W (GGA-PBEsol, the Alexandria database).

Cell: 8.047 8.047 8.047 Å, 90.00 90.00 90.00°
Space group F-43m (No. 216)
Asymmetric unit:
Sr 0.000 0.000 0.000 x4
Cd 0.124 0.124 0.376 x16
W 0.250 0.250 0.750 x4

magnetization: 3.1 μB/f.u.
volume: 130 Å³/f.u.
calculated formation energy: 2.8 eV/f.u.

# SrCdW3

An optimized crystal structure of SrCdW3 (GGA-PBEsol, the Alexandria database).

Cell: 4.954 4.954 4.954 Å, 90.00 90.00 90.00°
Space group Pm-3m (No. 221)
Asymmetric unit:
Sr 0.000 0.000 0.000 x1
Cd 0.500 0.500 0.500 x1
W 0.000 0.500 0.500 x3

magnetization: 0.0 μB/f.u.
volume: 122 Å³/f.u.
calculated formation energy: 13.8 eV/f.u.

# Sr2CdW

An optimized crystal structure of Sr2CdW (GGA-PBEsol, the Alexandria database).

Cell: 3.346 3.894 8.963 Å, 90.00 90.00 90.00°
Space group Pmm2 (No. 25)
Asymmetric unit:
Sr 0.000 0.000 0.000 x1
Sr 0.500 0.500 0.394 x1
Cd 0.500 0.500 0.760 x1
W 0.000 0.000 0.634 x1

magnetization: 0.0 μB/f.u.
volume: 117 Å³/f.u.
calculated formation energy: 3.1 eV/f.u.

# SrYCd4

An optimized crystal structure of SrYCd4 (GGA-PBEsol, the Alexandria database).

Cell: 8.372 8.372 8.372 Å, 90.00 90.00 90.00°
Space group F-43m (No. 216)
Asymmetric unit:
Sr 0.000 0.000 0.000 x4
Y 0.250 0.250 0.750 x4
Cd 0.124 0.124 0.376 x16

magnetization: 0.0 μB/f.u.
volume: 147 Å³/f.u.
calculated formation energy: -1.8 eV/f.u.

# SrYCd

An optimized crystal structure of SrYCd (GGA-PBEsol, the Alexandria database).

Cell: 3.788 3.788 13.448 Å, 90.00 90.00 90.00°
Space group I4mm (No. 107)
Asymmetric unit:
Sr 0.000 0.000 0.000 x2
Y 0.000 0.000 0.282 x2
Cd 0.000 0.000 0.663 x2

magnetization: 0.2 μB/f.u.
volume: 96 Å³/f.u.
calculated formation energy: -0.4 eV/f.u.

# Sr2ZnCd

An optimized crystal structure of Sr2ZnCd (GGA-PBEsol, the Alexandria database).

Cell: 7.479 7.479 7.479 Å, 90.00 90.00 90.00°
Space group F-43m (No. 216)
Asymmetric unit:
Sr 0.000 0.000 0.000 x4
Sr 0.250 0.250 0.250 x4
Zn 0.000 0.000 0.500 x4
Cd 0.250 0.250 0.750 x4

magnetization: 0.0 μB/f.u.
volume: 105 Å³/f.u.
calculated formation energy: -0.3 eV/f.u.

# SrZnCd2

An optimized crystal structure of SrZnCd2 (GGA-PBEsol, the Alexandria database).

Cell: 4.6622 4.6622 16.2875 Å, 90.00 90.00 120.00°
Space group R3m (No. 160, hexagonal axes)
Asymmetric unit:
Sr 0.0000 0.0000 0.0000 x3
Zn 0.0000 0.0000 0.2043 x3
Cd 0.0000 0.0000 0.5258 x3
Cd 0.0000 0.0000 0.7922 x3

magnetization: 0.0 μB/f.u.
volume: 102 Å³/f.u.
calculated formation energy: -0.8 eV/f.u.

# Sr2ZnCd

An optimized crystal structure of Sr2ZnCd (GGA-PBEsol, the Alexandria database).

Cell: 3.798 5.523 11.229 Å, 90.00 90.00 90.00°
Space group Imm2 (No. 44)
Asymmetric unit:
Sr 0.000 0.000 0.000 x2
Sr 0.000 0.500 0.197 x2
Zn 0.000 0.500 0.747 x2
Cd 0.000 0.000 0.424 x2

magnetization: 0.0 μB/f.u.
volume: 118 Å³/f.u.
calculated formation energy: -0.7 eV/f.u.

# Sr2ZnCd

An optimized crystal structure of Sr2ZnCd (GGA-PBEsol, the Alexandria database).

Cell: 5.519 5.519 3.904 Å, 90.00 90.00 90.00°
Space group P4/mmm (No. 123)
Asymmetric unit:
Sr 0.000 0.500 0.000 x2
Zn 0.000 0.000 0.500 x1
Cd 0.500 0.500 0.500 x1

magnetization: 0.0 μB/f.u.
volume: 119 Å³/f.u.
calculated formation energy: -0.9 eV/f.u.

# Sr2Zn2Cd

An optimized crystal structure of Sr2Zn2Cd (GGA-PBEsol, the Alexandria database).

Cell: 3.808 3.808 19.279 Å, 90.00 90.00 90.00°
Space group I4/mmm (No. 139)
Asymmetric unit:
Sr 0.000 0.000 0.108 x4
Zn 0.000 0.500 0.250 x4
Cd 0.000 0.000 0.500 x2

magnetization: 0.0 μB/f.u.
offset from the most stable computed form: 0.100 eV per atom
volume: 140 Å³/f.u.
calculated formation energy: -0.4 eV/f.u.

# SrZn2Cd2

An optimized crystal structure of SrZn2Cd2 (GGA-PBEsol, the Alexandria database).

Cell: 4.435 4.435 11.620 Å, 90.00 90.00 90.00°
Space group I4/mmm (No. 139)
Asymmetric unit:
Sr 0.000 0.000 0.000 x2
Zn 0.000 0.500 0.250 x4
Cd 0.000 0.000 0.380 x4

magnetization: 0.0 μB/f.u.
volume: 114 Å³/f.u.
calculated formation energy: -0.9 eV/f.u.

# Sr2Zn2Cd

An optimized crystal structure of Sr2Zn2Cd (GGA-PBEsol, the Alexandria database).

Cell: 7.896 7.896 4.360 Å, 90.00 90.00 90.00°
Space group P4/mbm (No. 127)
Asymmetric unit:
Sr 0.185 0.315 0.000 x4
Zn 0.113 0.613 0.500 x4
Cd 0.000 0.000 0.500 x2

magnetization: 0.0 μB/f.u.
offset from the most stable computed form: 0.000 eV per atom
volume: 136 Å³/f.u.
calculated formation energy: -0.9 eV/f.u.

# Sr2ZrCd

An optimized crystal structure of Sr2ZrCd (GGA-PBEsol, the Alexandria database).

Cell: 3.6563 3.6563 33.4866 Å, 90.00 90.00 120.00°
Space group R3m (No. 160, hexagonal axes)
Asymmetric unit:
Sr 0.0000 0.0000 0.0000 x3
Sr 0.0000 0.0000 0.2265 x3
Zr 0.0000 0.0000 0.4750 x3
Cd 0.0000 0.0000 0.7443 x3

magnetization: 0.5 μB/f.u.
volume: 129 Å³/f.u.
calculated formation energy: 1.2 eV/f.u.

# TaCd3

An optimized crystal structure of TaCd3 (GGA-PBEsol, the Alexandria database).

Cell: 2.788 10.015 5.478 Å, 90.00 90.00 90.00°
Space group Imm2 (No. 44)
Asymmetric unit:
Ta 0.000 0.000 0.000 x2
Cd 0.000 0.255 0.309 x4
Cd 0.000 0.500 0.993 x2

magnetization: 0.0 μB/f.u.
volume: 76 Å³/f.u.
calculated formation energy: 0.9 eV/f.u.